# 1
This record from Alexandria via LeMat-Bulk describes PdRuO3 after structural relaxation. The functional is PBE.

The formation energy without anion corrections comes out at -0.198 eV/atom. The total moment is 0.00 μB per formula unit.

It has space group Pm-3m (No. 221), with a = 3.838 Å, b = 3.838 Å, c = 3.838 Å, α = 90.00°, β = 90.00° and γ = 90.00°. The inequivalent atoms are Pd at (0.000, 0.000, 0.000), Ru at (0.500, 0.500, 0.500) and O at (0.000, 0.500, 0.500).

---

# 2
This record from Alexandria via LeMat-Bulk describes PdRuO3 after structural relaxation. The functional is PBE.

The formation energy without anion corrections comes out at 0.519 eV/atom. The total moment is 4.74 μB per formula unit.

It has space group Pm-3m (No. 221), with a = 3.919 Å, b = 3.919 Å, c = 3.919 Å, α = 90.00°, β = 90.00° and γ = 90.00°. The inequivalent atoms are Pd at (0.000, 0.000, 0.000), Ru at (0.500, 0.500, 0.500) and O at (0.000, 0.000, 0.500).

---

# 3
This record from Alexandria via LeMat-Bulk describes PdRuO4 after structural relaxation. The functional is PBE.

The formation energy without anion corrections comes out at -0.665 eV/atom. The total moment is 0.00 μB per formula unit.

It has space group P2_1/c (No. 14), with a = 5.651 Å, b = 4.478 Å, c = 5.663 Å, α = 90.00°, β = 112.55° and γ = 90.00°. The inequivalent atoms are Pd at (0.000, 0.000, 0.000), Ru at (0.500, 0.000, 0.500), O at (0.178, 0.216, 0.339) and O at (0.345, 0.730, 0.668).

---

# 4
This record from Alexandria via LeMat-Bulk describes Sb2PdRuO after structural relaxation. The functional is PBE.

The formation energy without anion corrections comes out at 0.082 eV/atom. The total moment is 0.00 μB per formula unit.

It has space group P4/mmm (No. 123), with a = 4.902 Å, b = 4.902 Å, c = 3.829 Å, α = 90.00°, β = 90.00° and γ = 90.00°. The inequivalent atoms are Sb at (0.000, 0.500, 0.000), Pd at (0.000, 0.000, 0.500), Ru at (0.500, 0.500, 0.500) and O at (0.500, 0.500, 0.000).

---

# 5
This record from Alexandria via LeMat-Bulk describes Pd2RuSeO after structural relaxation. The functional is PBE.

The formation energy without anion corrections comes out at 0.677 eV/atom. The total moment is 2.76 μB per formula unit.

It has space group P4/mmm (No. 123), with a = 4.748 Å, b = 4.748 Å, c = 3.785 Å, α = 90.00°, β = 90.00° and γ = 90.00°. The inequivalent atoms are Pd at (0.000, 0.500, 0.000), Ru at (0.000, 0.000, 0.500), Se at (0.500, 0.500, 0.000) and O at (0.500, 0.500, 0.500).

---

# 6
This record from Alexandria via LeMat-Bulk describes Si2PdRuO after structural relaxation. The functional is PBE.

The formation energy without anion corrections comes out at 0.909 eV/atom. The total moment is 0.47 μB per formula unit.

It has space group P4/mmm (No. 123), with a = 4.455 Å, b = 4.455 Å, c = 5.016 Å, α = 90.00°, β = 90.00° and γ = 90.00°. The inequivalent atoms are Si at (0.000, 0.500, 0.000), Pd at (0.000, 0.000, 0.500), Ru at (0.000, 0.000, 0.000) and O at (0.500, 0.500, 0.500).

---

# 7
This record from Alexandria via LeMat-Bulk describes SrPdRuO6 after structural relaxation. The functional is PBE.

The formation energy without anion corrections comes out at -1.166 eV/atom. The total moment is 2.01 μB per formula unit.

It has space group P312 (No. 149), with a = 5.2810 Å, b = 5.2810 Å, c = 5.3418 Å, α = 90.00°, β = 90.00° and γ = 120.00°. The inequivalent atoms are Sr at (0.0000, 0.0000, 0.0000), Pd at (0.3333, 0.6667, 0.5000), Ru at (0.6667, 0.3333, 0.5000) and O at (0.3827, 0.0099, 0.7029).

---

# 8
This record from Alexandria via LeMat-Bulk describes SrPdRu2O8 after structural relaxation. The functional is PBE.

The formation energy without anion corrections comes out at -1.061 eV/atom. The total moment is 0.81 μB per formula unit.

It has space group C2/m (No. 12), with a = 7.710 Å, b = 6.393 Å, c = 7.056 Å, α = 90.00°, β = 102.71° and γ = 90.00°. The inequivalent atoms are Sr at (0.000, 0.000, 0.000), Pd at (0.000, 0.000, 0.500), Ru at (0.057, 0.500, 0.241), O at (0.034, 0.245, 0.729), O at (0.170, 0.500, 0.037) and O at (0.235, 0.500, 0.461).

---

# 9
This record from Alexandria via LeMat-Bulk describes SrPdRu2O after structural relaxation. The functional is PBE.

The formation energy without anion corrections comes out at 1.301 eV/atom. The total moment is 5.36 μB per formula unit.

It has space group P4/mmm (No. 123), with a = 4.737 Å, b = 4.737 Å, c = 6.029 Å, α = 90.00°, β = 90.00° and γ = 90.00°. The inequivalent atoms are Sr at (0.000, 0.000, 0.000), Pd at (0.000, 0.000, 0.500), Ru at (0.000, 0.500, 0.500) and O at (0.500, 0.500, 0.000).

---

# 10
This record from Alexandria via LeMat-Bulk describes Tl2PdRuO4 after structural relaxation. The functional is PBE.

The formation energy without anion corrections comes out at -0.510 eV/atom. The total moment is 0.79 μB per formula unit.

It has space group I-4 (No. 82), with a = 6.447 Å, b = 6.447 Å, c = 6.927 Å, α = 90.00°, β = 90.00° and γ = 90.00°. The inequivalent atoms are Tl at (0.000, 0.000, 0.000), Tl at (0.000, 0.500, 0.250), Pd at (0.000, 0.000, 0.500), Ru at (0.000, 0.500, 0.750) and O at (0.123, 0.299, 0.596).

---

# 11
This record from Alexandria via LeMat-Bulk describes UPdRuO6 after structural relaxation. The functional is PBE.

The formation energy without anion corrections comes out at -1.640 eV/atom. The total moment is 0.02 μB per formula unit.

It has space group P-31c (No. 163), with a = 5.2430 Å, b = 5.2430 Å, c = 9.2311 Å, α = 90.00°, β = 90.00° and γ = 120.00°. The inequivalent atoms are U at (0.3333, 0.6667, 0.2500), Pd at (0.3333, 0.6667, 0.7500), Ru at (0.0000, 0.0000, 0.0000) and O at (0.0134, 0.3241, 0.1212).

---

# 12
This record from Alexandria via LeMat-Bulk describes Pd3SO6 after structural relaxation. The functional is PBE.

The formation energy without anion corrections comes out at -0.290 eV/atom. The total moment is 0.00 μB per formula unit.

It has space group P2_1/c (No. 14), with a = 5.644 Å, b = 5.583 Å, c = 8.604 Å, α = 90.00°, β = 107.72° and γ = 90.00°. The inequivalent atoms are Pd at (0.000, 0.000, 0.000), Pd at (0.174, 0.093, 0.683), S at (0.500, 0.000, 0.500), O at (0.088, 0.066, 0.239), O at (0.327, 0.667, 0.076) and O at (0.425, 0.233, 0.581).

---

# 13
This record from Alexandria via LeMat-Bulk describes PdS2O8 after structural relaxation. The functional is PBE.

The formation energy without anion corrections comes out at -0.926 eV/atom. The total moment is 0.00 μB per formula unit.

It has space group C2/m (No. 12), with a = 9.016 Å, b = 8.590 Å, c = 4.612 Å, α = 90.00°, β = 97.40° and γ = 90.00°. The inequivalent atoms are Pd at (0.000, 0.000, 0.000), S at (0.210, 0.000, 0.634), O at (0.124, 0.136, 0.752), O at (0.132, 0.500, 0.278) and O at (0.187, 0.000, 0.303).

---

# 14
This record from Alexandria via LeMat-Bulk describes PdS3O after structural relaxation. The functional is PBE.

The formation energy without anion corrections comes out at 1.328 eV/atom. The total moment is 0.00 μB per formula unit. The value obtained for the energy above the lowest structure with this stoichiometry is 1.96 eV per formula unit.

It has space group Pm-3m (No. 221), with a = 4.630 Å, b = 4.630 Å, c = 4.630 Å, α = 90.00°, β = 90.00° and γ = 90.00°. The inequivalent atoms are Pd at (0.000, 0.000, 0.000), S at (0.000, 0.000, 0.500) and O at (0.500, 0.500, 0.500).

---

# 15
This record from Alexandria via LeMat-Bulk describes PdSO2 after structural relaxation. The functional is PBE.

The formation energy without anion corrections comes out at 0.355 eV/atom. The total moment is 0.00 μB per formula unit.

It has space group I-42d (No. 122), with a = 3.929 Å, b = 3.929 Å, c = 12.672 Å, α = 90.00°, β = 90.00° and γ = 90.00°. The inequivalent atoms are Pd at (0.000, 0.000, 0.000), S at (0.000, 0.000, 0.500) and O at (0.223, 0.250, 0.625).

---

# 16
This record from Alexandria via LeMat-Bulk describes PdSO2 after structural relaxation. The functional is PBE.

The formation energy without anion corrections comes out at 0.249 eV/atom. The total moment is 0.00 μB per formula unit.

It has space group R-3m (No. 166, hexagonal axes), with a = 3.0552 Å, b = 3.0552 Å, c = 18.6602 Å, α = 90.00°, β = 90.00° and γ = 120.00°. The inequivalent atoms are Pd at (0.0000, 0.0000, 0.0000), S at (0.0000, 0.0000, 0.5000) and O at (0.0000, 0.0000, 0.1095).

---

# 17
This record from Alexandria via LeMat-Bulk describes PdS3O after structural relaxation. The functional is PBE.

The formation energy without anion corrections comes out at 0.936 eV/atom. The total moment is 0.00 μB per formula unit. The value obtained for the energy above the lowest structure with this stoichiometry is 0.00 eV per formula unit.

It has space group Pm-3m (No. 221), with a = 4.220 Å, b = 4.220 Å, c = 4.220 Å, α = 90.00°, β = 90.00° and γ = 90.00°. The inequivalent atoms are Pd at (0.000, 0.000, 0.000), S at (0.000, 0.500, 0.500) and O at (0.500, 0.500, 0.500).

---

# 18
This record from Alexandria via LeMat-Bulk describes PdS3O12 after structural relaxation. The functional is PBE.

The formation energy without anion corrections comes out at -0.813 eV/atom. The total moment is 2.03 μB per formula unit.

It has space group R3c (No. 161, hexagonal axes), with a = 8.9373 Å, b = 8.9373 Å, c = 27.8362 Å, α = 90.00°, β = 90.00° and γ = 120.00°. The inequivalent atoms are Pd at (0.0000, 0.0000, 0.0000), S at (0.0323, 0.3636, 0.1665), O at (0.0065, 0.2111, 0.1409), O at (0.0883, 0.2317, 0.4660), O at (0.1234, 0.4549, 0.5252) and O at (0.1914, 0.4343, 0.2006).

---

# 19
This record from Alexandria via LeMat-Bulk describes Pd6SO12 after structural relaxation. The functional is PBE.

The formation energy without anion corrections comes out at -0.322 eV/atom. The total moment is 0.00 μB per formula unit.

It has space group R-3 (No. 148, hexagonal axes), with a = 8.8349 Å, b = 8.8349 Å, c = 9.1742 Å, α = 90.00°, β = 90.00° and γ = 120.00°. The inequivalent atoms are Pd at (0.0413, 0.2451, 0.1690), S at (0.0000, 0.0000, 0.5000), O at (0.0306, 0.2232, 0.9050) and O at (0.0867, 0.1848, 0.3970).

---

# 20
This record from Alexandria via LeMat-Bulk describes PdSO2 after structural relaxation. The functional is PBE.

The formation energy without anion corrections comes out at -0.077 eV/atom. The total moment is 0.00 μB per formula unit.

It has space group R-3m (No. 166, hexagonal axes), with a = 3.2600 Å, b = 3.2600 Å, c = 17.3768 Å, α = 90.00°, β = 90.00° and γ = 120.00°. The inequivalent atoms are Pd at (0.0000, 0.0000, 0.0000), S at (0.0000, 0.0000, 0.5000) and O at (0.0000, 0.0000, 0.3965).